--- A ---
DFT (PBE-GGA) results for a geometry-optimized CeHoPtRh structure.

The value obtained for the density of states at the Fermi level is 1.259 states/eV per atom.

The space group is Amm2 (No. 38) and the conventional cell measures 4.224, 3.783 and 11.032 Å, with angles of 90.00, 90.00 and 90.00 degrees. The inequivalent atoms are Ce at (0.000, 0.000, 0.000), Ho at (0.500, 0.000, 0.724), Pt at (0.000, 0.000, 0.276) and Rh at (0.500, 0.000, 0.462).



--- B ---
DFT (PBE-GGA) results for a geometry-optimized CeHoPtRh structure.

The value obtained for the density of states at the Fermi level is 1.860 states/eV per atom.

The space group is F-43m (No. 216) and the conventional cell measures 6.993, 6.993 and 6.993 Å, with angles of 90.00, 90.00 and 90.00 degrees. The inequivalent atoms are Ce at (0.000, 0.000, 0.000), Ho at (0.000, 0.000, 0.500), Pt at (0.250, 0.250, 0.250) and Rh at (0.250, 0.250, 0.750).



A is preferred energetically. Next in line: 118 meV/atom higher.